(1)
The following is a PBE calculation of CoH2Rh2 after structural relaxation, from Alexandria.

Properties
energy relative to the lowest polymorph listed for this composition = 2.23 kcal/mol of atoms
SG = No. 127
total DFT energy (no corrections) = -5.54 eV per atom
DOS(E_F) = 0.8735 states/eV per atom

Lattice parameters (Å, degrees): 5.7718 5.7718 2.8001 90.00 90.00 90.00
Site moments in Bohr magnetons follow the coordinates.
Sites, in units of the cell vectors:
Rh 0.3387 0.1613 0.5000  0.47
H 0.3016 0.8016 0.0000  0.00
Rh 0.1613 0.6613 0.5000  0.48
Rh 0.6613 0.8387 0.5000  0.47
Co 0.5000 0.5000 0.0000  1.91
H 0.8016 0.6984 0.0000  0.00
H 0.6984 0.1984 0.0000  0.00
Rh 0.8387 0.3387 0.5000  0.48
H 0.1984 0.3016 0.0000  0.00
Co 0.0000 0.0000 0.0000  1.91

(2)
The following is a PBE calculation of Tb2TmTl after structural relaxation, from Alexandria.

Properties
energy relative to the lowest polymorph listed for this composition = 0.41 kcal/mol of atoms
SG = No. 71
total DFT energy (no corrections) = -4.18 eV per atom
ΔH_f (0 K) = -0.160 eV/atom
DOS(E_F) = 0.8987 states/eV per atom

Lattice parameters (Å, degrees): 3.8445 5.3384 6.6319 113.73 106.85 90.00
Sites, in units of the cell vectors:
Tm 0.5000 0.5000 0.0000
Tb 0.2755 0.7755 0.5510
Tb 0.7245 0.2245 0.4490
Tl 0.0000 0.0000 0.0000

(3)
The following is a PBE calculation of Mg2TaSe after structural relaxation, from Alexandria.

Properties
SG = No. 6
formation energy without anion corrections = 0.021 eV/atom
total DFT energy (no corrections) = -4.61 eV per atom
DOS(E_F) = 0.7564 states/eV per atom

Lattice parameters (Å, degrees): 4.6301 3.2346 5.7196 73.48 90.00 90.00
Sites, in units of the cell vectors:
Mg 0.0000 0.9506 0.9724
Se 0.0000 0.6694 0.5352
Mg 0.5000 0.3085 0.2612
Ta 0.5000 0.5716 0.7311

(4)
The following is a PBE calculation of KTi2AlIr after structural relaxation, from Alexandria.

Properties
SG = No. 123
total DFT energy (no corrections) = -5.63 eV per atom
ΔH_f (0 K) = 0.270 eV/atom
DOS(E_F) = 1.6540 states/eV per atom

Lattice parameters (Å, degrees): 4.9781 4.8762 4.9781 90.00 90.00 90.00
Site moments in Bohr magnetons follow the coordinates.
Sites, in units of the cell vectors:
Ti 0.5000 0.0000 0.0000  1.25
Al 0.0000 0.5000 0.0000  -0.01
Ir 0.0000 0.0000 0.0000  -0.02
Ti 0.0000 0.0000 0.5000  0.90
K 0.5000 0.5000 0.5000  0.03

(5)
The following is a PBE calculation of BaNaHg17 after structural relaxation, from Alexandria.

Properties
SG = No. 160
total DFT energy (no corrections) = -0.57 eV per atom
ΔH_f (0 K) = -0.126 eV/atom
DOS(E_F) = 0.3734 states/eV per atom

Lattice parameters (Å, degrees): 8.5791 8.5791 8.5791 71.12 71.12 71.12
Sites, in units of the cell vectors:
Hg 0.4080 0.8272 0.4080
Hg 0.6988 0.0015 0.2969
Hg 0.4930 0.0053 0.0053
Ba 0.7121 0.7121 0.7121
Hg 0.0015 0.6988 0.2969
Hg 0.8272 0.4080 0.4080
Hg 0.0053 0.4930 0.0053
Na 0.2911 0.2911 0.2911
Hg 0.4080 0.4080 0.8272
Hg 0.9063 0.9063 0.9063
Hg 0.5860 0.1833 0.5860
Hg 0.0937 0.0937 0.0937
Hg 0.6988 0.2969 0.0015
Hg 0.1833 0.5860 0.5860
Hg 0.2969 0.6988 0.0015
Hg 0.0015 0.2969 0.6988
Hg 0.5860 0.5860 0.1833
Hg 0.0053 0.0053 0.4930
Hg 0.2969 0.0015 0.6988

(6)
The following is a PBE calculation of Ac2PrHgSe5 after structural relaxation, from Alexandria.

Properties
SG = No. 36
formation energy without anion corrections = -1.575 eV/atom
total DFT energy (no corrections) = -4.99 eV per atom
DOS(E_F) = 0.3390 states/eV per atom

Lattice parameters (Å, degrees): 4.3418 9.3650 13.1734 90.00 90.00 103.40
Sites, in units of the cell vectors:
Se 0.5015 0.0030 0.7756
Ac 0.1276 0.2552 0.3054
Ac 0.8776 0.7552 0.1837
Se 0.6440 0.2881 0.4990
Pr 0.8084 0.6168 0.5015
Hg 0.4534 0.9067 0.4682
Pr 0.1916 0.3832 0.0015
Ac 0.8724 0.7448 0.8054
Se 0.3028 0.6057 0.3383
Se 0.7044 0.4088 0.1616
Se 0.3560 0.7119 0.9990
Se 0.9615 0.9231 0.5908
Ac 0.1224 0.2448 0.6837
Se 0.2956 0.5912 0.6616
Se 0.0385 0.0769 0.0908
Se 0.6972 0.3943 0.8383
Se 0.4985 0.9970 0.2756
Hg 0.5466 0.0933 0.9682

(7)
The following is a PBE calculation of La2Nd2Ho3 after structural relaxation, from Alexandria.

Properties
energy relative to the lowest polymorph listed for this composition = 2.35 kcal/mol of atoms
SG = No. 12
total DFT energy (no corrections) = -4.60 eV per atom
ΔH_f (0 K) = 0.131 eV/atom
DOS(E_F) = 1.7751 states/eV per atom

Lattice parameters (Å, degrees): 3.5199 8.8710 8.7923 116.34 101.55 90.00
Sites, in units of the cell vectors:
Ho 0.2195 0.6432 0.4390
Ho 0.7805 0.3568 0.5610
Ho 0.0000 0.5000 0.0000
La 0.0808 0.2082 0.1616
Nd 0.3598 0.0944 0.7196
Nd 0.6402 0.9056 0.2804
La 0.9192 0.7918 0.8384

(8)
The following is a PBE calculation of PmHoSc after structural relaxation, from Alexandria.

Properties
energy relative to the lowest polymorph listed for this composition = 1.28 kcal/mol of atoms
SG = No. 11
total DFT energy (no corrections) = -5.11 eV per atom
ΔH_f (0 K) = 0.106 eV/atom
DOS(E_F) = 1.7232 states/eV per atom

Lattice parameters (Å, degrees): 5.1148 3.4224 10.3571 99.49 90.00 90.00
Sites, in units of the cell vectors:
Ho 0.8468 0.6266 0.6714
Pm 0.3468 0.0455 0.5083
Sc 0.8469 0.7844 0.9920
Ho 0.3468 0.3633 0.1521
Sc 0.3469 0.2055 0.8315
Pm 0.8468 0.9443 0.3153

(9)
The following is a PBE calculation of LaPm3Pd after structural relaxation, from Alexandria.

Properties
energy relative to the lowest polymorph listed for this composition = 0.42 kcal/mol of atoms
SG = No. 15
total DFT energy (no corrections) = -5.10 eV per atom
ΔH_f (0 K) = -0.225 eV/atom
DOS(E_F) = 1.2666 states/eV per atom

Lattice parameters (Å, degrees): 7.1761 9.9901 9.9901 64.20 79.93 79.93
Sites, in units of the cell vectors:
Pm 0.0718 0.6635 0.0134
La 0.7500 0.0402 0.9598
Pm 0.5996 0.3143 0.3134
Pd 0.7973 0.2692 0.5681
Pm 0.5718 0.0134 0.6635
La 0.2500 0.3854 0.6146
Pm 0.0892 0.0082 0.6582
Pm 0.4108 0.3418 0.9918
Pm 0.5892 0.6582 0.0082
Pm 0.4004 0.6857 0.6866
Pm 0.0996 0.3134 0.3143
Pm 0.9108 0.9918 0.3418
La 0.7500 0.6146 0.3854
Pd 0.2973 0.5681 0.2692
La 0.2500 0.9598 0.0402
Pm 0.9282 0.3365 0.9866
Pd 0.7027 0.4319 0.7308
Pm 0.9004 0.6866 0.6857
Pm 0.4282 0.9866 0.3365
Pd 0.2027 0.7308 0.4319

(10)
The following is a PBE calculation of Ge5Te4Se after structural relaxation, from Alexandria.

Properties
energy relative to the lowest polymorph listed for this composition = 0.12 kcal/mol of atoms
SG = No. 139
formation energy without anion corrections = -0.088 eV/atom
total DFT energy (no corrections) = -4.00 eV per atom
DOS(E_F) = 0.0275 states/eV per atom

Lattice parameters (Å, degrees): 15.1299 15.1299 15.1299 164.02 164.02 22.67
Sites, in units of the cell vectors:
Se 0.5000 0.5000 0.0000
Ge 0.0000 0.0000 0.0000
Ge 0.5951 0.5951 0.0000
Te 0.0994 0.0994 0.0000
Ge 0.2015 0.2015 0.0000
Te 0.9006 0.9006 0.0000
Ge 0.4049 0.4049 0.0000
Ge 0.7985 0.7985 0.0000
Te 0.3011 0.3011 0.0000
Te 0.6988 0.6988 0.0000

(11)
The following is a PBE calculation of Sr2CaAu after structural relaxation, from Alexandria.

Properties
energy relative to the lowest polymorph listed for this composition = 2.57 kcal/mol of atoms
SG = No. 160
total DFT energy (no corrections) = -2.50 eV per atom
ΔH_f (0 K) = -0.343 eV/atom
DOS(E_F) = 0.9828 states/eV per atom

Lattice parameters (Å, degrees): 4.3482 4.3482 10.7429 78.32 78.32 60.00
Sites, in units of the cell vectors:
Sr 0.2738 0.2738 0.1785
Au 0.6663 0.6663 0.0010
Sr 0.0593 0.0593 0.8220
Ca 0.5005 0.5005 0.4985

(12)
The following is a PBE calculation of NdYB after structural relaxation, from Alexandria.

Properties
SG = No. 63
total DFT energy (no corrections) = -6.19 eV per atom
ΔH_f (0 K) = -0.216 eV/atom
DOS(E_F) = 0.9472 states/eV per atom

Lattice parameters (Å, degrees): 3.2659 3.5712 12.2302 81.60 90.00 90.00
Sites, in units of the cell vectors:
B 0.2500 0.5123 0.9754
Y 0.7500 0.0672 0.8656
B 0.7500 0.4877 0.0246
Nd 0.2500 0.6937 0.6127
Y 0.2500 0.9328 0.1344
Nd 0.7500 0.3063 0.3873

(13)
The following is a PBE calculation of GaCu3Pb after structural relaxation, from Alexandria.

Properties
energy relative to the lowest polymorph listed for this composition = 9.98 kcal/mol of atoms
SG = No. 221
total DFT energy (no corrections) = -2.99 eV per atom
ΔH_f (0 K) = 0.814 eV/atom
DOS(E_F) = 0.1817 states/eV per atom

Lattice parameters (Å, degrees): 4.9781 4.9781 4.9781 90.00 90.00 90.00
Sites, in units of the cell vectors:
Cu 0.0000 0.0000 0.5000
Pb 0.0000 0.0000 0.0000
Cu 0.5000 0.0000 0.0000
Ga 0.5000 0.5000 0.5000
Cu 0.0000 0.5000 0.0000

(14)
The following is a PBE calculation of BeTl2Pd2 after structural relaxation, from Alexandria.

Properties
SG = No. 127
total DFT energy (no corrections) = -3.80 eV per atom
ΔH_f (0 K) = -0.033 eV/atom
DOS(E_F) = 0.3426 states/eV per atom

Lattice parameters (Å, degrees): 6.2578 6.2578 4.7369 90.00 90.00 90.00
Sites, in units of the cell vectors:
Tl 0.8272 0.3272 0.5000
Pd 0.6623 0.1623 0.0000
Tl 0.6728 0.8272 0.5000
Tl 0.3272 0.1728 0.5000
Pd 0.3377 0.8377 0.0000
Pd 0.1623 0.3377 0.0000
Be 0.0000 0.0000 0.0000
Pd 0.8377 0.6623 0.0000
Be 0.5000 0.5000 0.0000
Tl 0.1728 0.6728 0.5000

(15)
The following is a PBE calculation of Cs3NpHg2S6 after structural relaxation, from Alexandria.

Properties
SG = No. 164
formation energy without anion corrections = -0.810 eV/atom
total DFT energy (no corrections) = -4.22 eV per atom
DOS(E_F) = 0.2580 states/eV per atom

Lattice parameters (Å, degrees): 7.7854 7.7854 9.0354 90.00 90.00 120.00
Site moments in Bohr magnetons follow the coordinates.
Sites, in units of the cell vectors:
Np 0.0000 0.0000 0.5000  2.61
S 0.8499 0.6999 0.6840  -0.07
S 0.6999 0.8499 0.3160  -0.07
S 0.1501 0.8499 0.3160  -0.07
S 0.3001 0.1501 0.6840  -0.07
S 0.1501 0.3001 0.3160  -0.07
S 0.8499 0.1501 0.6840  -0.07
Hg 0.6667 0.3333 0.6791  0.00
Cs 0.6667 0.3333 0.2882  0.00
Cs 0.0000 0.0000 0.0000  0.00
Cs 0.3333 0.6667 0.7118  0.00
Hg 0.3333 0.6667 0.3209  0.00

(16)
The following is a PBE calculation of Nd3AlNiS7 after structural relaxation, from Alexandria.

Properties
SG = No. 173
formation energy without anion corrections = -1.559 eV/atom
total DFT energy (no corrections) = -5.95 eV per atom
DOS(E_F) = 0.0119 states/eV per atom

Lattice parameters (Å, degrees): 9.8396 9.8396 6.2684 90.00 90.00 120.00
Site moments in Bohr magnetons follow the coordinates.
Sites, in units of the cell vectors:
S 0.7751 0.8711 0.8012  0.14
S 0.0960 0.2249 0.8012  0.14
S 0.9040 0.7751 0.3012  0.14
S 0.9077 0.4317 0.9911  0.01
Nd 0.6244 0.7809 0.2124  0.01
S 0.3333 0.6667 0.9939  0.01
S 0.5683 0.4759 0.9911  0.01
S 0.0923 0.5683 0.4911  0.01
Ni 0.0000 0.0000 0.0374  1.21
Nd 0.1566 0.3756 0.2124  0.01
S 0.4759 0.9077 0.4911  0.01
Nd 0.3756 0.2191 0.7124  0.01
S 0.4317 0.5241 0.4911  0.01
Nd 0.2191 0.8434 0.2124  0.01
Al 0.3333 0.6667 0.6365  0.00
S 0.2249 0.1289 0.3012  0.14
Nd 0.7809 0.1566 0.7124  0.01
S 0.8711 0.0960 0.3012  0.14
S 0.1289 0.9040 0.8012  0.14
Nd 0.8434 0.6244 0.7124  0.01
S 0.5241 0.0923 0.9911  0.01
S 0.6667 0.3333 0.4939  0.01
Al 0.6667 0.3333 0.1365  0.00
Ni 0.0000 0.0000 0.5374  1.21

(17)
The following is a PBE calculation of Ba2AlCd3Hg4 after structural relaxation, from Alexandria.

Properties
SG = No. 115
total DFT energy (no corrections) = -1.45 eV per atom
ΔH_f (0 K) = -0.299 eV/atom
DOS(E_F) = 0.6556 states/eV per atom

Lattice parameters (Å, degrees): 4.7968 4.7968 12.4528 90.00 90.00 90.00
Sites, in units of the cell vectors:
Cd 0.0000 0.5000 0.1414
Hg 0.0000 0.0000 0.0000
Cd 0.5000 0.0000 0.8586
Al 0.5000 0.5000 0.5000
Hg 0.0000 0.5000 0.3736
Hg 0.5000 0.0000 0.6264
Hg 0.5000 0.5000 0.0000
Cd 0.0000 0.0000 0.5000
Ba 0.0000 0.5000 0.7432
Ba 0.5000 0.0000 0.2568

(18)
The following is a PBE calculation of KNaCrBr6 after structural relaxation, from Alexandria.

Properties
SG = No. 149
formation energy without anion corrections = -1.005 eV/atom
total DFT energy (no corrections) = -3.46 eV per atom
DOS(E_F) = 1.3976 states/eV per atom

Lattice parameters (Å, degrees): 6.6822 7.2933 7.2933 120.00 90.00 90.00
Site moments in Bohr magnetons follow the coordinates.
Sites, in units of the cell vectors:
Br 0.2829 0.9851 0.7151  -0.10
Br 0.2829 0.7300 0.0149  -0.10
Cr 0.5000 0.0000 0.0000  2.41
Br 0.7171 0.2849 0.0149  -0.10
Br 0.2829 0.2849 0.2700  -0.10
Br 0.7171 0.9851 0.2700  -0.10
Br 0.7171 0.7300 0.7151  -0.10
Na 0.5000 0.6667 0.3333  0.00
K 0.0000 0.3333 0.6667  0.00

(19)
The following is a PBE calculation of SmDyHo4 after structural relaxation, from Alexandria.

Properties
energy relative to the lowest polymorph listed for this composition = 4.44 kcal/mol of atoms
SG = No. 47
total DFT energy (no corrections) = -4.41 eV per atom
ΔH_f (0 K) = 0.200 eV/atom
DOS(E_F) = 2.1514 states/eV per atom

Lattice parameters (Å, degrees): 3.4369 5.7833 9.8669 90.00 90.00 89.99
Sites, in units of the cell vectors:
Ho 0.4973 0.0013 0.1889
Ho 0.9973 0.5013 0.3119
Ho 0.9973 0.5013 0.6919
Dy 0.4973 0.5013 0.0019
Sm 0.9973 0.0013 0.5019
Ho 0.4973 0.0013 0.8148

(20)
The following is a PBE calculation of ErPu2Pa after structural relaxation, from Alexandria.

Properties
energy relative to the lowest polymorph listed for this composition = 3.85 kcal/mol of atoms
SG = No. 225
total DFT energy (no corrections) = -10.41 eV per atom
ΔH_f (0 K) = 0.275 eV/atom
DOS(E_F) = 2.6751 states/eV per atom

Lattice parameters (Å, degrees): 5.3279 5.3279 5.3279 60.00 60.00 60.00
Site moments in Bohr magnetons follow the coordinates.
Sites, in units of the cell vectors:
Er 0.5000 0.5000 0.5000  0.41
Pu 0.7500 0.7500 0.7500  5.52
Pu 0.2500 0.2500 0.2500  5.52
Pa 0.0000 0.0000 0.0000  1.45